1.
# Zn2Ga4Tc (GGA-PBE, relaxed)
data_Zn2Ga4Tc
_space_group_name_H-M_alt 'P 1'
_space_group_IT_number 1
_cell_length_a 6.825
_cell_length_b 6.825
_cell_length_c 5.382
_cell_angle_alpha 129.35
_cell_angle_beta 129.35
_cell_angle_gamma 90.00
loop_
_space_group_symop_operation_xyz
'x,y,z'
loop_
_atom_site_label
_atom_site_type_symbol
_atom_site_fract_x
_atom_site_fract_y
_atom_site_fract_z
_atom_site_occupancy
Zn1 Zn 0.750 0.250 0.500 1
Zn2 Zn 0.250 0.750 0.500 1
Ga1 Ga 0.807 0.193 0.000 1
Ga2 Ga 0.193 0.807 0.000 1
Ga3 Ga 0.807 0.807 0.000 1
Ga4 Ga 0.193 0.193 0.000 1
Tc1 Tc 0.500 0.500 0.000 1
# Energy of formation from the pure elements ... 0.27 eV per atom
# Size of the total moment ... 0.0 μB per formula unit
# DFT total energy ... -3.308 eV/atom

***

2.
# ZnGa2Tc (GGA-PBE, relaxed)
data_ZnGa2Tc
_space_group_name_H-M_alt 'P 1'
_space_group_IT_number 1
_cell_length_a 6.983
_cell_length_b 6.983
_cell_length_c 5.619
_cell_angle_alpha 51.59
_cell_angle_beta 51.59
_cell_angle_gamma 90.00
loop_
_space_group_symop_operation_xyz
'x,y,z'
loop_
_atom_site_label
_atom_site_type_symbol
_atom_site_fract_x
_atom_site_fract_y
_atom_site_fract_z
_atom_site_occupancy
Zn1 Zn 0.500 0.500 0.000 1
Zn2 Zn 0.250 0.750 0.500 1
Tc1 Tc 0.000 0.000 0.000 1
Tc2 Tc 0.750 0.250 0.500 1
Ga1 Ga 0.621 0.125 0.250 1
Ga2 Ga 0.129 0.625 0.250 1
Ga3 Ga 0.375 0.379 0.750 1
Ga4 Ga 0.875 0.871 0.750 1
# Energy of formation from the pure elements ... 0.32 eV per atom
# Size of the total moment ... 1.0 μB per formula unit
# DFT total energy ... -4.101 eV/atom

***

3.
# Zn2Ga8Tc (GGA-PBE, relaxed)
data_Zn2Ga8Tc
_space_group_name_H-M_alt 'P 1'
_space_group_IT_number 1
_cell_length_a 4.147
_cell_length_b 5.624
_cell_length_c 9.524
_cell_angle_alpha 114.96
_cell_angle_beta 102.57
_cell_angle_gamma 90.00
loop_
_space_group_symop_operation_xyz
'x,y,z'
loop_
_atom_site_label
_atom_site_type_symbol
_atom_site_fract_x
_atom_site_fract_y
_atom_site_fract_z
_atom_site_occupancy
Zn1 Zn 0.800 0.205 0.601 1
Zn2 Zn 0.200 0.795 0.399 1
Ga1 Ga 0.380 0.550 0.760 1
Ga2 Ga 0.631 0.948 0.262 1
Ga3 Ga 0.792 0.688 0.585 1
Ga4 Ga 0.997 0.265 0.995 1
Ga5 Ga 0.208 0.312 0.415 1
Ga6 Ga 0.369 0.052 0.738 1
Ga7 Ga 0.620 0.450 0.240 1
Ga8 Ga 0.003 0.735 0.005 1
Tc1 Tc 0.500 0.000 0.000 1
# Energy of formation from the pure elements ... 0.00 eV per atom
# Size of the total moment ... 0.0 μB per formula unit
# DFT total energy ... -3.378 eV/atom

***

4.
# Zn6GaTc (GGA-PBE, relaxed)
data_Zn6GaTc
_space_group_name_H-M_alt 'P 1'
_space_group_IT_number 1
_cell_length_a 5.153
_cell_length_b 5.152
_cell_length_c 5.236
_cell_angle_alpha 89.94
_cell_angle_beta 89.89
_cell_angle_gamma 60.00
loop_
_space_group_symop_operation_xyz
'x,y,z'
loop_
_atom_site_label
_atom_site_type_symbol
_atom_site_fract_x
_atom_site_fract_y
_atom_site_fract_z
_atom_site_occupancy
Zn1 Zn 0.501 0.501 0.261 1
Zn2 Zn 0.002 0.499 0.261 1
Zn3 Zn 0.998 0.501 0.739 1
Zn4 Zn 0.499 0.499 0.739 1
Zn5 Zn 0.501 0.000 0.261 1
Zn6 Zn 0.499 0.000 0.739 1
Ga1 Ga 0.000 0.000 0.000 1
Tc1 Tc 0.000 0.000 0.500 1
# Energy of formation from the pure elements ... 0.03 eV per atom
# Size of the total moment ... 0.0 μB per formula unit
# DFT total energy ... -2.604 eV/atom

***

5.
# Zn4GaTc (GGA-PBE, relaxed)
data_Zn4GaTc
_space_group_name_H-M_alt 'P 1'
_space_group_IT_number 1
_cell_length_a 4.445
_cell_length_b 7.645
_cell_length_c 8.367
_cell_angle_alpha 140.71
_cell_angle_beta 90.00
_cell_angle_gamma 90.00
loop_
_space_group_symop_operation_xyz
'x,y,z'
loop_
_atom_site_label
_atom_site_type_symbol
_atom_site_fract_x
_atom_site_fract_y
_atom_site_fract_z
_atom_site_occupancy
Zn1 Zn 0.500 0.874 0.714 1
Zn2 Zn 0.500 0.626 0.786 1
Zn3 Zn 0.000 0.028 0.354 1
Zn4 Zn 0.000 0.472 0.146 1
Zn5 Zn 0.000 0.972 0.646 1
Zn6 Zn 0.000 0.528 0.854 1
Zn7 Zn 0.500 0.374 0.214 1
Zn8 Zn 0.500 0.126 0.286 1
Ga1 Ga 0.501 0.250 0.750 1
Ga2 Ga 0.499 0.750 0.250 1
Tc1 Tc 0.000 0.500 0.500 1
Tc2 Tc 0.000 0.000 0.000 1
# Energy of formation from the pure elements ... 0.05 eV per atom
# Size of the total moment ... 0.0 μB per formula unit
# DFT total energy ... -3.029 eV/atom

***

6.
# Zn4Ga2Tc (GGA-PBE, relaxed)
data_Zn4Ga2Tc
_space_group_name_H-M_alt 'P 1'
_space_group_IT_number 1
_cell_length_a 6.839
_cell_length_b 6.839
_cell_length_c 5.394
_cell_angle_alpha 139.56
_cell_angle_beta 114.62
_cell_angle_gamma 94.07
loop_
_space_group_symop_operation_xyz
'x,y,z'
loop_
_atom_site_label
_atom_site_type_symbol
_atom_site_fract_x
_atom_site_fract_y
_atom_site_fract_z
_atom_site_occupancy
Zn1 Zn 0.564 0.174 0.737 1
Zn2 Zn 0.351 0.486 0.837 1
Zn3 Zn 0.380 0.417 0.280 1
Zn4 Zn 0.863 0.900 0.280 1
Ga1 Ga 0.843 0.397 0.530 1
Ga2 Ga 0.133 0.687 0.530 1
Tc1 Tc 0.866 0.940 0.806 1
# Energy of formation from the pure elements ... 0.02 eV per atom
# Size of the total moment ... 0.0 μB per formula unit
# DFT total energy ... -3.058 eV/atom